This record from the Alexandria database describes CeFeI after structural relaxation. The functional is PBE.

```
CeFeI
1.0
4.0768 0.0000 -0.2347
0.0000 4.1971 0.0000
-2.2346 -2.0985 10.3569
Ce I Fe
2 2 2
Direct
0.0151 0.8177 0.6355
0.9849 0.1823 0.3645
0.3746 0.5932 0.1863
0.6254 0.4068 0.8137
0.4420 0.2699 0.5398
0.5580 0.7301 0.4602
```

Final energy (eV for the cell shown): -35.0
Formation energy from raw total energies (eV per atom): -0.5211

=====

This record from the Alexandria database describes PtSe2O6 after structural relaxation. The functional is PBE.

```
PtSe2O6
1.0
3.6351 0.0000 0.0000
1.8175 4.7450 -0.0475
1.8175 1.9696 7.4325
O Se Pt
6 2 1
Direct
0.3672 0.6777 0.5878
0.7194 0.7182 0.8429
0.0451 0.1781 0.7318
0.6328 0.3223 0.4122
0.9549 0.8219 0.2682
0.2806 0.2818 0.1571
0.1993 0.8054 0.7961
0.8007 0.1946 0.2039
0.0000 0.5000 0.5000
```

Final energy (eV for the cell shown): -46.3
Formation energy from raw total energies (eV per atom): -0.3902
Energy relative to the lowest polymorph listed for this composition (kJ per mole of atoms): 13.6

=====

This record from the Alexandria database describes LiCuMo after structural relaxation. The functional is PBE.

```
LiCuMo
1.0
9.2662 0.0000 0.0000
0.0000 4.6461 0.0000
0.0000 0.0000 4.6995
Cu Li Mo
4 4 4
Direct
0.5000 0.0000 0.5000
0.0000 0.5000 0.0000
0.5000 0.5000 0.5000
0.0000 0.0000 0.0000
0.2449 0.2500 0.4997
0.7551 0.7500 0.5003
0.2551 0.7500 0.9997
0.7449 0.2500 0.0003
0.4551 0.2500 0.0000
0.9551 0.2500 0.5000
0.0449 0.7500 0.5000
0.5449 0.7500 0.0000
```

Final energy (eV for the cell shown): -60.0
Energy relative to the lowest polymorph listed for this composition (kJ per mole of atoms): 44.2